1.
Compound: NaV
Source: Alexandria
Functional: PBE
Structure: optimized geometry

Unit cell a=5.7332 b=14.3093 c=9.1866 alpha=90.00 beta=90.00 gamma=90.00
Last column: nearest neighbours and their distance in Å.
Sites, in units of the cell vectors:
Na 0.2500 0.7500 0.9114  3 Na 2.97-3.30, 4 V 3.13-3.24
Na 0.7500 0.2500 0.9114  3 Na 2.97-3.30, 4 V 3.13-3.24
Na 0.0000 0.0000 0.3386  3 Na 2.97-3.30, 4 V 3.13-3.24
Na 0.2500 0.7500 0.5886  3 Na 2.97-3.30, 4 V 3.13-3.24
Na 0.5000 0.5000 0.3386  3 Na 2.97-3.30, 4 V 3.13-3.24
Na 0.5000 0.0000 0.1614  3 Na 2.97-3.30, 4 V 3.13-3.24
Na 0.0000 0.5000 0.8386  3 Na 2.97-3.30, 4 V 3.13-3.24
Na 0.5000 0.5000 0.6614  3 Na 2.97-3.30, 4 V 3.13-3.24
Na 0.2500 0.2500 0.4114  3 Na 2.97-3.30, 4 V 3.13-3.24
Na 0.7500 0.7500 0.4114  3 Na 2.97-3.30, 4 V 3.13-3.24
Na 0.7500 0.2500 0.5886  3 Na 2.97-3.30, 4 V 3.13-3.24
Na 0.2500 0.2500 0.0886  3 Na 2.97-3.30, 4 V 3.13-3.24
Na 0.0000 0.5000 0.1614  3 Na 2.97-3.30, 4 V 3.13-3.24
Na 0.5000 0.0000 0.8386  3 Na 2.97-3.30, 4 V 3.13-3.24
Na 0.7500 0.7500 0.0886  3 Na 2.97-3.30, 4 V 3.13-3.24
Na 0.0000 0.0000 0.6614  3 Na 2.97-3.30, 4 V 3.13-3.24
V 0.0000 0.9362 0.0000  1 V 1.83
V 0.2500 0.1862 0.7500  1 V 1.83
V 0.0000 0.0638 0.0000  1 V 1.83
V 0.7500 0.6862 0.7500  1 V 1.83
V 0.0000 0.5638 0.5000  1 V 1.83
V 0.2500 0.6862 0.2500  1 V 1.83
V 0.2500 0.8138 0.2500  1 V 1.83
V 0.7500 0.1862 0.2500  1 V 1.83
V 0.0000 0.4362 0.5000  1 V 1.83
V 0.2500 0.3138 0.7500  1 V 1.83
V 0.7500 0.3138 0.2500  1 V 1.83
V 0.5000 0.9362 0.5000  1 V 1.83
V 0.5000 0.5638 0.0000  1 V 1.83
V 0.5000 0.0638 0.5000  1 V 1.83
V 0.5000 0.4362 0.0000  1 V 1.83
V 0.7500 0.8138 0.7500  1 V 1.83

Values from the calculation:
formation energy from the elements = 1038 meV/atom
total DFT energy (no corrections) = -4.181 eV per atom
E above lowest polymorph = 550 meV per atom
total magnetization = 0.1205 μB/atom



2.
Compound: CrHg2Br
Source: Alexandria
Functional: PBE
Structure: optimized geometry

Unit cell a=9.7520 b=9.7520 c=7.3613 alpha=48.52 beta=48.52 gamma=90.00
Last column: nearest neighbours and their distance in Å.
Sites, in units of the cell vectors:
Hg 0.8750 0.7828 0.7500  2 Cr 2.95, 2 Hg 3.14
Hg 0.2172 0.6250 0.2500  2 Cr 2.95, 2 Hg 3.14
Hg 0.5328 0.1250 0.2500  2 Cr 2.95, 2 Hg 3.14
Hg 0.3750 0.4672 0.7500  2 Cr 2.95, 2 Hg 3.14
Br 0.0000 0.0000 0.0000  2 Cr 2.58
Br 0.7500 0.2500 0.5000  2 Cr 2.58
Cr 0.5000 0.5000 0.0000  2 Br 2.58
Cr 0.2500 0.7500 0.5000  2 Br 2.58

Values from the calculation:
uncorrected formation energy = 0.09 eV per atom
total DFT energy (no corrections) = -2.884 eV per atom
E above lowest polymorph = 67 meV per atom
total magnetization = 1.2448 μB/atom



3.
Compound: MnZn2Se
Source: Alexandria
Functional: PBE
Structure: optimized geometry

Unit cell a=7.5952 b=7.5952 c=5.9452 alpha=50.30 beta=50.30 gamma=90.00
Last column: nearest neighbours and their distance in Å.
Sites, in units of the cell vectors:
Zn 0.3750 0.3564 0.7500  2 Zn 2.57, 2 Se 2.66, 2 Mn 2.86
Zn 0.6436 0.1250 0.2500  2 Zn 2.57, 2 Se 2.66, 2 Mn 2.86
Zn 0.1064 0.6250 0.2500  2 Zn 2.57, 2 Se 2.66, 2 Mn 2.86
Zn 0.8750 0.8936 0.7500  2 Zn 2.57, 2 Se 2.66, 2 Mn 2.86
Se 0.7500 0.2500 0.5000  2 Mn 2.55, 4 Zn 2.66
Se 0.0000 0.0000 0.0000  2 Mn 2.55, 4 Zn 2.66
Mn 0.2500 0.7500 0.5000  2 Se 2.55
Mn 0.5000 0.5000 0.0000  2 Se 2.55

Values from the calculation:
uncorrected formation energy = 0.11 eV per atom
total DFT energy (no corrections) = -3.695 eV per atom
total magnetization = 1.0930 μB/atom



4.
Compound: Cs2BaSrCd
Source: Alexandria
Functional: PBE
Structure: optimized geometry

Unit cell a=8.3623 b=7.4654 c=8.3623 alpha=90.00 beta=90.00 gamma=90.00
Last column: nearest neighbours and their distance in Å.
Sites, in units of the cell vectors:
Cs 0.5000 0.0000 0.0000  2 Ba 4.18
Cs 0.0000 0.0000 0.5000  2 Ba 4.18
Ba 0.0000 0.0000 0.0000  2 Sr 3.73
Cd 0.5000 0.5000 0.5000  8 Cs 5.60, 4 Sr 5.91
Sr 0.0000 0.5000 0.0000  2 Ba 3.73

Values from the calculation:
formation energy from the elements = 632 meV/atom
total DFT energy (no corrections) = -0.614 eV per atom
total magnetization = 0.6586 μB/atom



5.
Compound: TlCd3Pd4
Source: Alexandria
Functional: PBE
Structure: optimized geometry

Unit cell a=4.7413 b=4.7411 c=7.2089 alpha=109.21 beta=109.21 gamma=89.99
Last column: nearest neighbours and their distance in Å.
Sites, in units of the cell vectors:
Pd 0.8745 0.8742 0.7488  6 Cd 2.84-2.87, 2 Tl 2.86, 1 Pd 3.18
Pd 0.3743 0.3748 0.7488  6 Cd 2.84-2.87, 2 Tl 2.86, 1 Pd 3.18
Pd 0.1255 0.1258 0.2512  6 Cd 2.84-2.87, 2 Tl 2.86, 1 Pd 3.18
Pd 0.6257 0.6252 0.2512  6 Cd 2.84-2.87, 2 Tl 2.86, 1 Pd 3.18
Cd 0.2476 0.7477 0.4953  8 Pd 2.84-2.87, 1 Cd 3.16
Cd 0.7524 0.2523 0.5047  8 Pd 2.84-2.87, 1 Cd 3.16
Cd 0.0000 0.5000 0.0000  8 Pd 2.86, 2 Cd 3.16
Tl 0.5000 0.0000 0.0000  8 Pd 2.86

Values from the calculation:
formation energy from the elements = -324 meV/atom
total DFT energy (no corrections) = -3.559 eV per atom
total magnetization = 0.0000 μB/atom



6.
Compound: Pm2TmLu
Source: Alexandria
Functional: PBE
Structure: optimized geometry

Unit cell a=3.5675 b=3.5675 c=11.6842 alpha=81.22 beta=81.22 gamma=60.00
Last column: nearest neighbours and their distance in Å.
Sites, in units of the cell vectors:
Tm 0.0000 0.0000 0.0000  6 Pm 3.54, 6 Tm 3.57
Pm 0.7503 0.7503 0.7492  3 Lu 3.53, 3 Tm 3.54, 6 Pm 3.57
Pm 0.2497 0.2497 0.2508  3 Lu 3.53, 3 Tm 3.54, 6 Pm 3.57
Lu 0.5000 0.5000 0.5000  6 Pm 3.53, 6 Lu 3.57

Values from the calculation:
formation energy from the elements = 20 meV/atom
total DFT energy (no corrections) = -4.603 eV per atom
E above lowest polymorph = 0 meV per atom
total magnetization = 0.0000 μB/atom



7.
Compound: Ac3Ge4Ir4
Source: Alexandria
Functional: PBE
Structure: optimized geometry

Unit cell a=4.3214 b=4.3399 c=13.2733 alpha=99.41 beta=99.37 gamma=90.00
Last column: nearest neighbours and their distance in Å.
Sites, in units of the cell vectors:
Ac 0.6452 0.1452 0.2904  8 Ir 3.27-3.48, 6 Ge 3.28-3.36
Ac 0.3548 0.8548 0.7096  8 Ir 3.27-3.48, 6 Ge 3.28-3.36
Ac 0.0000 0.0000 0.0000  8 Ge 3.32, 4 Ir 3.38
Ir 0.7505 0.7505 0.5011  4 Ge 2.53-2.54
Ir 0.1006 0.6006 0.2011  3 Ge 2.53-2.54
Ir 0.8994 0.3994 0.7989  3 Ge 2.53-2.54
Ir 0.2495 0.2495 0.4989  4 Ge 2.53-2.54
Ge 0.4502 0.4502 0.9003  2 Ir 2.53, 1 Ge 2.57
Ge 0.1989 0.6989 0.3978  5 Ir 2.53-2.54
Ge 0.5498 0.5498 0.0997  2 Ir 2.53, 1 Ge 2.57
Ge 0.8011 0.3011 0.6022  5 Ir 2.53-2.54

Values from the calculation:
formation energy from the elements = -772 meV/atom
total DFT energy (no corrections) = -6.793 eV per atom
E above lowest polymorph = 0 meV per atom
total magnetization = 0.0000 μB/atom



8.
Compound: CaBeCl2
Source: Alexandria
Functional: PBE
Structure: optimized geometry

Unit cell a=3.8705 b=3.8705 c=5.7356 alpha=90.00 beta=90.00 gamma=90.00
Last column: nearest neighbours and their distance in Å.
Sites, in units of the cell vectors:
Cl 0.5000 0.5000 0.3098  1 Ca 2.63, 4 Be 2.78
Cl 0.0000 0.0000 0.0248  1 Be 2.14
Be 0.0000 0.0000 0.3978  1 Cl 2.14
Ca 0.5000 0.5000 0.7675  1 Cl 2.63

Values from the calculation:
uncorrected formation energy = -0.81 eV per atom
total DFT energy (no corrections) = -3.168 eV per atom
E above lowest polymorph = 238 meV per atom
total magnetization = 0.0000 μB/atom



9.
Compound: K2CaNi2
Source: Alexandria
Functional: PBE
Structure: optimized geometry

Unit cell a=7.8354 b=7.8354 c=7.8354 alpha=146.88 beta=146.88 gamma=47.53
Last column: nearest neighbours and their distance in Å.
Sites, in units of the cell vectors:
Ni 0.4219 0.4219 0.0000  1 Ni 2.24
Ni 0.5781 0.5781 0.0000  1 Ni 2.24
K 0.7500 0.2500 0.5000  4 K 3.16, 4 Ni 3.33
K 0.2500 0.7500 0.5000  4 K 3.16, 4 Ni 3.33
Ca 0.0000 0.0000 0.0000  8 Ni 3.35

Values from the calculation:
formation energy from the elements = 613 meV/atom
total DFT energy (no corrections) = -2.539 eV per atom
total magnetization = 0.1662 μB/atom



10.
Compound: LiCdCoH6
Source: Alexandria
Functional: PBE
Structure: optimized geometry

Unit cell a=4.4982 b=4.4982 c=4.1857 alpha=90.04 beta=89.96 gamma=59.99
Last column: nearest neighbours and their distance in Å.
Sites, in units of the cell vectors:
H 0.3444 0.6026 0.2773  1 Co 1.55
H 0.6027 0.0526 0.2770  1 Co 1.55
H 0.3444 0.0532 0.7228  1 Co 1.55
H 0.0526 0.6027 0.7229  1 Co 1.55
H 0.0531 0.3445 0.2772  1 Co 1.55
H 0.6026 0.3444 0.7226  1 Co 1.55
Li 0.6666 0.6666 0.5000  6 H 1.86
Co 0.3333 0.3334 0.5000  6 H 1.55
Cd 0.0000 0.0000 0.0000  6 H 2.04

Values from the calculation:
total DFT energy (no corrections) = -3.317 eV per atom
total magnetization = 0.0106 μB/atom